Entry 1:
{
  "formula": "CsCaY2",
  "functional": "PBE-GGA",
  "state": "relaxed",
  "delta_e_f_kj_per_mol_atoms": 76.9,
  "dft_energy_ev_per_atom": -3.149,
  "magnetic_moment_mub_per_fu": 0.0,
  "e_above_lowest_polymorph_kj_per_mol_atoms": 14.6,
  "spacegroup": "I-42d, No. 122",
  "lattice_angstrom": [[9.5810, 0.0000, 0.0000], [0.0000, 9.5810, 0.0000], [0.0000, 0.0000, 6.9702]],
  "species": ["Cs", "Cs", "Cs", "Cs", "Ca", "Ca", "Ca", "Ca", "Y", "Y", "Y", "Y", "Y", "Y", "Y", "Y"],
  "fractional_positions": [[0.0000, 0.0000, 0.0000], [0.0000, 0.5000, 0.2500], [0.5000, 0.0000, 0.7500], [0.5000, 0.5000, 0.5000], [0.0000, 0.0000, 0.5000], [0.0000, 0.5000, 0.7500], [0.5000, 0.0000, 0.2500], [0.5000, 0.5000, 0.0000], [0.2359, 0.2500, 0.1250], [0.2500, 0.7359, 0.3750], [0.2500, 0.7641, 0.8750], [0.2641, 0.2500, 0.6250], [0.7359, 0.7500, 0.6250], [0.7500, 0.2359, 0.8750], [0.7500, 0.2641, 0.3750], [0.7641, 0.7500, 0.1250]]
}



Entry 2:
{
  "formula": "CsCaY2",
  "functional": "PBE-GGA",
  "state": "relaxed",
  "delta_e_f_kj_per_mol_atoms": 62.3,
  "dft_energy_ev_per_atom": -3.300,
  "magnetic_moment_mub_per_fu": 0.0,
  "e_above_lowest_polymorph_kj_per_mol_atoms": 0.0,
  "spacegroup": "Fm-3m, No. 225",
  "lattice_angstrom": [[8.6812, 0.0000, 0.0000], [0.0000, 8.6812, 0.0000], [0.0000, 0.0000, 8.6812]],
  "species": ["Cs", "Cs", "Cs", "Cs", "Ca", "Ca", "Ca", "Ca", "Y", "Y", "Y", "Y", "Y", "Y", "Y", "Y"],
  "fractional_positions": [[0.0000, 0.0000, 0.0000], [0.0000, 0.5000, 0.5000], [0.5000, 0.0000, 0.5000], [0.5000, 0.5000, 0.0000], [0.0000, 0.0000, 0.5000], [0.0000, 0.5000, 0.0000], [0.5000, 0.0000, 0.0000], [0.5000, 0.5000, 0.5000], [0.2500, 0.2500, 0.2500], [0.2500, 0.2500, 0.7500], [0.2500, 0.7500, 0.2500], [0.2500, 0.7500, 0.7500], [0.7500, 0.2500, 0.2500], [0.7500, 0.2500, 0.7500], [0.7500, 0.7500, 0.2500], [0.7500, 0.7500, 0.7500]]
}



Entry 3:
{
  "formula": "CsCa2Y",
  "functional": "PBE-GGA",
  "state": "relaxed",
  "delta_e_f_kj_per_mol_atoms": 62.6,
  "dft_energy_ev_per_atom": -2.182,
  "magnetic_moment_mub_per_fu": 0.0,
  "spacegroup": "I-42d, No. 122",
  "lattice_angstrom": [[9.7618, 0.0000, 0.0000], [0.0000, 9.7618, 0.0000], [0.0000, 0.0000, 7.4871]],
  "species": ["Cs", "Cs", "Cs", "Cs", "Ca", "Ca", "Ca", "Ca", "Ca", "Ca", "Ca", "Ca", "Y", "Y", "Y", "Y"],
  "fractional_positions": [[0.0000, 0.0000, 0.0000], [0.0000, 0.5000, 0.2500], [0.5000, 0.0000, 0.7500], [0.5000, 0.5000, 0.5000], [0.2479, 0.7500, 0.6250], [0.2500, 0.2479, 0.3750], [0.2500, 0.2521, 0.8750], [0.2521, 0.7500, 0.1250], [0.7479, 0.2500, 0.1250], [0.7500, 0.7479, 0.8750], [0.7500, 0.7521, 0.3750], [0.7521, 0.2500, 0.6250], [0.0000, 0.0000, 0.5000], [0.0000, 0.5000, 0.7500], [0.5000, 0.0000, 0.2500], [0.5000, 0.5000, 0.0000]]
}



Entry 4:
{
  "formula": "CsCaYZn2",
  "functional": "PBE-GGA",
  "state": "relaxed",
  "delta_e_f_kj_per_mol_atoms": 82.9,
  "dft_energy_ev_per_atom": -1.514,
  "magnetic_moment_mub_per_fu": 0.0,
  "spacegroup": "P4/mmm, No. 123",
  "lattice_angstrom": [[5.5291, 0.0000, 0.0000], [0.0000, 5.5291, 0.0000], [0.0000, 0.0000, 5.8537]],
  "species": ["Cs", "Ca", "Y", "Zn", "Zn"],
  "fractional_positions": [[0.0000, 0.0000, 0.0000], [0.0000, 0.0000, 0.5000], [0.5000, 0.5000, 0.0000], [0.0000, 0.5000, 0.5000], [0.5000, 0.0000, 0.5000]]
}



Entry 5:
{
  "formula": "Cs4CaZn2",
  "functional": "PBE-GGA",
  "state": "relaxed",
  "delta_e_f_kj_per_mol_atoms": 35.7,
  "dft_energy_ev_per_atom": -0.768,
  "magnetic_moment_mub_per_fu": 0.0,
  "spacegroup": "I4/mmm, No. 139",
  "lattice_angstrom": [[7.7312, 0.0000, 0.0000], [0.0000, 7.7312, 0.0000], [0.0000, 0.0000, 18.8131]],
  "species": ["Cs", "Cs", "Cs", "Cs", "Cs", "Cs", "Cs", "Cs", "Ca", "Ca", "Zn", "Zn", "Zn", "Zn"],
  "fractional_positions": [[0.0000, 0.0000, 0.2357], [0.0000, 0.0000, 0.7643], [0.0000, 0.5000, 0.0000], [0.0000, 0.5000, 0.5000], [0.5000, 0.0000, 0.0000], [0.5000, 0.0000, 0.5000], [0.5000, 0.5000, 0.2643], [0.5000, 0.5000, 0.7357], [0.0000, 0.0000, 0.0000], [0.5000, 0.5000, 0.5000], [0.0000, 0.0000, 0.4311], [0.0000, 0.0000, 0.5689], [0.5000, 0.5000, 0.0689], [0.5000, 0.5000, 0.9311]]
}



Entry 6:
{
  "formula": "Cs3CaZn",
  "functional": "PBE-GGA",
  "state": "relaxed",
  "delta_e_f_kj_per_mol_atoms": 26.6,
  "dft_energy_ev_per_atom": -0.892,
  "magnetic_moment_mub_per_fu": 0.0,
  "e_above_lowest_polymorph_kj_per_mol_atoms": 0.0,
  "spacegroup": "Pm-3m, No. 221",
  "lattice_angstrom": [[7.2603, 0.0000, 0.0000], [0.0000, 7.2603, 0.0000], [0.0000, 0.0000, 7.2603]],
  "species": ["Cs", "Cs", "Cs", "Ca", "Zn"],
  "fractional_positions": [[0.0000, 0.0000, 0.5000], [0.0000, 0.5000, 0.0000], [0.5000, 0.0000, 0.0000], [0.5000, 0.5000, 0.5000], [0.0000, 0.0000, 0.0000]]
}



Entry 7:
{
  "formula": "CsCa2Zn",
  "functional": "PBE-GGA",
  "state": "relaxed",
  "delta_e_f_kj_per_mol_atoms": 10.8,
  "dft_energy_ev_per_atom": -1.421,
  "magnetic_moment_mub_per_fu": 0.0,
  "spacegroup": "R-3m, No. 166",
  "lattice_angstrom": [[4.3516, 0.0000, 0.0000], [-2.1758, 3.7686, 0.0000], [0.0000, 0.0000, 35.7891]],
  "species": ["Cs", "Cs", "Cs", "Ca", "Ca", "Ca", "Ca", "Ca", "Ca", "Zn", "Zn", "Zn"],
  "fractional_positions": [[0.0000, 0.0000, 0.0000], [0.3333, 0.6667, 0.6667], [0.6667, 0.3333, 0.3333], [0.0000, 0.0000, 0.1195], [0.0000, 0.0000, 0.8805], [0.3333, 0.6667, 0.5472], [0.3333, 0.6667, 0.7862], [0.6667, 0.3333, 0.2138], [0.6667, 0.3333, 0.4528], [0.0000, 0.0000, 0.5000], [0.3333, 0.6667, 0.1667], [0.6667, 0.3333, 0.8333]]
}



Entry 8:
{
  "formula": "CsCa3Zn",
  "functional": "PBE-GGA",
  "state": "relaxed",
  "delta_e_f_kj_per_mol_atoms": 7.5,
  "dft_energy_ev_per_atom": -1.548,
  "magnetic_moment_mub_per_fu": 0.0,
  "e_above_lowest_polymorph_kj_per_mol_atoms": 0.0,
  "spacegroup": "Pm-3m, No. 221",
  "lattice_angstrom": [[6.0797, 0.0000, 0.0000], [0.0000, 6.0797, 0.0000], [0.0000, 0.0000, 6.0797]],
  "species": ["Cs", "Ca", "Ca", "Ca", "Zn"],
  "fractional_positions": [[0.0000, 0.0000, 0.0000], [0.0000, 0.5000, 0.5000], [0.5000, 0.0000, 0.5000], [0.5000, 0.5000, 0.0000], [0.5000, 0.5000, 0.5000]]
}



What did the eighth record say?
{
  "formula": "CsCa3Zn",
  "functional": "PBE-GGA",
  "state": "relaxed",
  "delta_e_f_kj_per_mol_atoms": 7.5,
  "dft_energy_ev_per_atom": -1.548,
  "magnetic_moment_mub_per_fu": 0.0,
  "e_above_lowest_polymorph_kj_per_mol_atoms": 0.0,
  "spacegroup": "Pm-3m, No. 221",
  "lattice_angstrom": [[6.0797, 0.0000, 0.0000], [0.0000, 6.0797, 0.0000], [0.0000, 0.0000, 6.0797]],
  "species": ["Cs", "Ca", "Ca", "Ca", "Zn"],
  "fractional_positions": [[0.0000, 0.0000, 0.0000], [0.0000, 0.5000, 0.5000], [0.5000, 0.0000, 0.5000], [0.5000, 0.5000, 0.0000], [0.5000, 0.5000, 0.5000]]
}